(1)
TeRhBr2 | PBEsol | relaxed

The structure in POSCAR format:
```
TeRhBr2
1.0
-1.4916 -1.9969 3.7027
-0.5663 -3.6181 -2.5517
5.2149 1.4713 0.3902
Rh Br Te
1 2 1
direct
0.5000 0.5000 0.0000 Rh
0.5000 0.0000 0.5000 Br
0.0000 0.5000 0.5000 Br
0.0000 0.0000 0.0000 Te
```

Computed properties:
SG: No. 69
Density in g cm⁻³: 7.25
E_form (uncorrected) in meV per atom: 386.9
Crystal system: orthorhombic
N(E_F) in states/eV/f.u.: 2.7



(2)
Be2AuSe | PBEsol | relaxed

The structure in POSCAR format:
```
Be2AuSe
1.0
-0.9413 -2.9317 -0.5143
3.7241 -0.8794 -1.8033
0.8747 -0.9860 4.0196
Se Be Au
1 2 1
direct
0.5000 0.0000 0.0000 Se
0.0000 0.5000 0.0000 Be
0.0000 0.0000 0.5000 Be
0.5000 0.5000 0.5000 Au
```

Computed properties:
SG: No. 65
Density in g cm⁻³: 8.87
E_form (uncorrected) in meV per atom: 268.7
Crystal system: orthorhombic
N(E_F) in states/eV/f.u.: 1.3



(3)
Mg2AlIn | PBEsol | relaxed

The structure in POSCAR format:
```
Mg2AlIn
1.0
4.9381 0.0000 0.0000
2.4691 4.2766 0.0000
2.4691 1.4255 4.0320
Al Mg In
1 2 1
direct
0.5000 0.5000 0.5000 Al
0.7500 0.7500 0.7500 Mg
0.0000 0.0000 0.0000 Mg
0.2500 0.2500 0.2500 In
```

Computed properties:
Energy of formation from the pure elements in meV/atom: 59.9
SG: No. 216
Density in g cm⁻³: 3.71
Crystal system: cubic
N(E_F) in states/eV/f.u.: 2.0



(4)
AgC2 | PBEsol | relaxed

The structure in POSCAR format:
```
AgC2
1.0
3.1641 0.0000 0.0000
0.0000 3.1641 0.0000
0.0000 0.0000 3.9933
Ag C
1 2
direct
0.0000 0.0000 0.0000 Ag
0.0000 0.0000 0.5000 C
0.5000 0.5000 0.0000 C
```

Computed properties:
Energy of formation from the pure elements in meV/atom: 3456.1
Offset from the most stable computed form in meV/atom: 1336
SG: No. 123
Density in g cm⁻³: 5.48
Crystal system: tetragonal
N(E_F) in states/eV/f.u.: 1.5



(5)
BaBr3 | PBEsol | relaxed

The structure in POSCAR format:
```
BaBr3
1.0
-3.6758 -2.5649 4.1854
4.7361 -3.2278 2.1814
1.2906 4.5399 3.9156
Br Ba
6 2
direct
0.0000 0.2500 0.5000 Br
0.5000 0.0000 0.2500 Br
0.0000 0.7500 0.5000 Br
0.7500 0.5000 0.0000 Br
0.2500 0.5000 0.0000 Br
0.5000 0.0000 0.7500 Br
0.0000 0.0000 0.0000 Ba
0.5000 0.5000 0.5000 Ba
```

Computed properties:
SG: No. 223
Density in g cm⁻³: 5.43
E_form (uncorrected) in meV per atom: -1608.5
Crystal system: cubic
N(E_F) in states/eV/f.u.: 2.0



(6)
Zn2HgTe | PBEsol | relaxed

The structure in POSCAR format:
```
Zn2HgTe
1.0
3.1003 0.0000 0.0000
0.0000 3.1003 0.0000
0.0000 0.0000 8.6655
Zn Te Hg
2 1 1
direct
0.5000 0.5000 0.2189 Zn
0.0000 0.0000 0.0494 Zn
0.5000 0.5000 0.7824 Te
0.0000 0.0000 0.4493 Hg
```

Computed properties:
Offset from the most stable computed form in meV/atom: 24
SG: No. 99
Density in g cm⁻³: 9.15
E_form (uncorrected) in meV per atom: 146.5
Crystal system: tetragonal
N(E_F) in states/eV/f.u.: 1.2



(7)
H2Pt2Au | PBEsol | relaxed

The structure in POSCAR format:
```
H2Pt2Au
1.0
3.2557 0.0000 0.0000
0.0000 3.2557 0.0000
-1.6279 -1.6279 5.0520
Au Pt H
1 2 2
direct
0.0000 0.0000 0.0000 Au
0.3457 0.3457 0.6914 Pt
0.6543 0.6543 0.3086 Pt
0.7500 0.2500 0.5000 H
0.2500 0.7500 0.5000 H
```

Computed properties:
SG: No. 139
Density in g cm⁻³: 18.27
Crystal system: tetragonal
N(E_F) in states/eV/f.u.: 1.3
Final energy in eV/atom: -4.812



(8)
La4BrCl3O4 | PBEsol | relaxed

The structure in POSCAR format:
```
La4BrCl3O4
1.0
4.0779 0.0000 0.0000
0.0000 4.0779 0.0000
0.0000 0.0000 13.9609
O Cl La Br
4 3 4 1
direct
0.0000 0.5000 0.5062 O
0.5000 0.0000 0.9951 O
0.5000 0.0000 0.5062 O
0.0000 0.5000 0.9951 O
0.5000 0.5000 0.6864 Cl
0.0000 0.0000 0.8139 Cl
0.5000 0.5000 0.1779 Cl
0.5000 0.5000 0.9094 La
0.0000 0.0000 0.0816 La
0.5000 0.5000 0.4203 La
0.0000 0.0000 0.5930 La
0.0000 0.0000 0.3148 Br
```

Computed properties:
SG: No. 99
Density in g cm⁻³: 5.76
E_form (uncorrected) in meV per atom: -3154.6
Crystal system: tetragonal
N(E_F) in states/eV/f.u.: 0.0